Compound: Sc3Al3Cu2Si
Source: OQMD
Functional: PBE
Structure: optimized geometry

Calculated values
For the calculated total energy, the calculation gives -5.22 eV per atom.

Unit cell a=6.9856 b=6.9856 c=3.6321 alpha=90.00 beta=90.00 gamma=120.00
Element x y z (fractional)
Sc (0.0000, 0.3934, 0.0000)
Cu (0.3333, 0.6667, 0.5000)
Si (0.0000, 0.0000, 0.0000)
Al (0.0000, 0.7345, 0.5000)
Sc (0.6066, 0.6066, 0.0000)
Al (0.7345, 0.0000, 0.5000)
Cu (0.6667, 0.3333, 0.5000)
Sc (0.3934, 0.0000, 0.0000)
Al (0.2655, 0.2655, 0.5000)